# 1
VASP calculation (PBE) on crystalline CuPd2W at its relaxed geometry.

abc: 6.939 6.939 5.588
angles: 51.62 51.62 90.00
Positions (direct):
Pd (0.127, 0.625, 0.250)
Pd (0.623, 0.125, 0.250)
Pd (0.875, 0.873, 0.750)
Pd (0.375, 0.377, 0.750)
W (0.750, 0.250, 0.500)
W (0.000, 0.000, 0.000)
Cu (0.250, 0.750, 0.500)
Cu (0.500, 0.500, 0.000)

energy = -24.88 eV per formula unit
relative energy among the computed polymorphs = 0.697 eV per atom
ΔH_f (0 K) = 2.6 eV per formula unit
space-group type = No. 122


# 2
VASP calculation (PBE) on crystalline CuPd9W2 at its relaxed geometry.

abc: 3.929 3.929 11.781
angles: 90.00 90.00 90.00
Each line ends with the local moment (μB).
Positions (direct):
Pd (0.500, 0.000, 0.831)  0.02
Pd (0.500, 0.500, 0.664)  0.01
Pd (0.500, 0.500, 0.000)  0.01
Pd (0.500, 0.000, 0.169)  0.02
Pd (0.000, 0.500, 0.831)  0.02
Pd (0.500, 0.500, 0.336)  0.01
Pd (0.000, 0.500, 0.500)  0.03
Pd (0.000, 0.500, 0.169)  0.02
Pd (0.500, 0.000, 0.500)  0.03
Cu (0.000, 0.000, 0.000)  -0.01
W (0.000, 0.000, 0.677)  0.27
W (0.000, 0.000, 0.323)  0.27

energy = -77.14 eV per formula unit
ΔH_f (0 K) = -0.4 eV per formula unit
space-group type = No. 123


# 3
VASP calculation (PBE) on crystalline CuPd2W at its relaxed geometry.

abc: 4.381 4.381 4.381
angles: 60.00 60.00 60.00
Positions (direct):
Cu (0.000, 0.000, 0.000)
Pd (0.750, 0.750, 0.750)
Pd (0.250, 0.250, 0.250)
W (0.500, 0.500, 0.500)

energy = -26.59 eV per formula unit
relative energy among the computed polymorphs = 0.271 eV per atom
ΔH_f (0 K) = 0.8 eV per formula unit
space-group type = No. 225


# 4
VASP calculation (PBE) on crystalline Cu2Pd9W at its relaxed geometry.

abc: 3.913 3.913 11.699
angles: 90.00 90.00 90.00
Positions (direct):
Pd (0.500, 0.000, 0.164)
Pd (0.500, 0.500, 0.332)
Pd (0.000, 0.500, 0.164)
Pd (0.500, 0.000, 0.836)
Pd (0.500, 0.500, 0.000)
Pd (0.000, 0.500, 0.500)
Pd (0.500, 0.000, 0.500)
Pd (0.500, 0.500, 0.668)
Pd (0.000, 0.500, 0.836)
Cu (0.000, 0.000, 0.662)
Cu (0.000, 0.000, 0.338)
W (0.000, 0.000, 0.000)

energy = -68.74 eV per formula unit
ΔH_f (0 K) = -0.9 eV per formula unit
space-group type = No. 123